{
  "formula": "Nd6Dy3Er2",
  "functional": "PBE",
  "state": "relaxed",
  "lattice_angstrom": [[-2.3841, 2.3841, 16.9273], [2.3841, -2.3841, 16.9273], [2.3841, 2.3841, -16.9273]],
  "species": ["Nd", "Nd", "Nd", "Nd", "Nd", "Nd", "Dy", "Dy", "Dy", "Er", "Er"],
  "frac_coords": [[0.1197, 0.6197, 0.5000], [0.2037, 0.2037, 0.0000], [0.3803, 0.8803, 0.5000], [0.6197, 0.1197, 0.5000], [0.7963, 0.7963, 0.0000], [0.8803, 0.3803, 0.5000], [0.3048, 0.3048, 0.0000], [0.5000, 0.5000, 0.0000], [0.6952, 0.6952, 0.0000], [0.0450, 0.0450, 0.0000], [0.9550, 0.9550, 0.0000]],
  "energy_ev_per_atom": -4.389,
  "relative_energy_ev_per_fu": 2.39,
  "sg": "I4/mmm",
  "delta_e_f_ev_per_atom": 0.297,
  "magnetic_moment_mub_per_atom": 0.00
}